[1]
Here is a crystal of TiHgPO2 relaxed with PBEsol from Alexandria via LeMat-Bulk. Energies are from meta-GGA SCAN.

Lattice parameters (Å, degrees): 3.746 3.746 5.378 90.00 90.00 90.00
Fractional positions:
P (0.000, 0.000, 0.500)
Hg (0.500, 0.500, 0.500)
O (0.000, 0.500, 0.000)
O (0.500, 0.000, 0.000)
Ti (0.000, 0.000, 0.000)

---

[2]
Here is a crystal of VHg4P2O9 relaxed with PBEsol from Alexandria via LeMat-Bulk. Energies are from meta-GGA SCAN.

Lattice parameters (Å, degrees): 6.941 9.166 16.580 90.00 90.00 90.00
Fractional positions:
V (0.894, 0.245, 0.750)
V (0.606, 0.745, 0.250)
V (0.106, 0.755, 0.250)
V (0.394, 0.255, 0.750)
Hg (0.361, 0.249, 0.422)
Hg (0.858, 0.527, 0.402)
Hg (0.139, 0.749, 0.922)
Hg (0.142, 0.473, 0.598)
Hg (0.861, 0.251, 0.078)
Hg (0.642, 0.027, 0.902)
Hg (0.358, 0.973, 0.098)
Hg (0.639, 0.751, 0.578)
Hg (0.639, 0.751, 0.922)
Hg (0.358, 0.973, 0.402)
Hg (0.861, 0.251, 0.422)
Hg (0.139, 0.749, 0.578)
Hg (0.858, 0.527, 0.098)
Hg (0.142, 0.473, 0.902)
Hg (0.361, 0.249, 0.078)
Hg (0.642, 0.027, 0.598)
P (0.646, 0.390, 0.889)
P (0.854, 0.890, 0.111)
P (0.354, 0.610, 0.389)
P (0.646, 0.390, 0.611)
P (0.854, 0.890, 0.389)
P (0.146, 0.110, 0.611)
P (0.354, 0.610, 0.111)
P (0.146, 0.110, 0.889)
O (0.037, 0.898, 0.335)
O (0.329, 0.114, 0.666)
O (0.329, 0.114, 0.834)
O (0.357, 0.814, 0.250)
O (0.340, 0.476, 0.444)
O (0.861, 0.755, 0.055)
O (0.143, 0.314, 0.750)
O (0.139, 0.245, 0.945)
O (0.171, 0.614, 0.334)
O (0.660, 0.524, 0.944)
O (0.857, 0.686, 0.250)
O (0.537, 0.602, 0.165)
O (0.840, 0.024, 0.444)
O (0.671, 0.886, 0.166)
O (0.139, 0.245, 0.555)
O (0.643, 0.186, 0.750)
O (0.639, 0.255, 0.555)
O (0.361, 0.745, 0.055)
O (0.160, 0.976, 0.944)
O (0.829, 0.386, 0.666)
O (0.829, 0.386, 0.834)
O (0.671, 0.886, 0.334)
O (0.840, 0.024, 0.056)
O (0.963, 0.102, 0.665)
O (0.171, 0.614, 0.166)
O (0.537, 0.602, 0.335)
O (0.463, 0.398, 0.835)
O (0.463, 0.398, 0.665)
O (0.963, 0.102, 0.835)
O (0.160, 0.976, 0.556)
O (0.340, 0.476, 0.056)
O (0.660, 0.524, 0.556)
O (0.861, 0.755, 0.445)
O (0.361, 0.745, 0.445)
O (0.037, 0.898, 0.165)
O (0.639, 0.255, 0.945)

---

[3]
Here is a crystal of ZrHgPO2 relaxed with PBEsol from Alexandria via LeMat-Bulk. Energies are from meta-GGA SCAN.

Lattice parameters (Å, degrees): 3.979 3.979 5.639 90.00 90.00 90.00
Fractional positions:
O (0.000, 0.500, 0.000)
O (0.500, 0.000, 0.000)
P (0.000, 0.000, 0.500)
Hg (0.500, 0.500, 0.500)
Zr (0.000, 0.000, 0.000)

---

[4]
Here is a crystal of Hg3PdO relaxed with PBEsol from Alexandria via LeMat-Bulk. Energies are from meta-GGA SCAN.

Lattice parameters (Å, degrees): 5.132 5.132 5.132 90.00 90.00 90.00
Fractional positions:
O (0.500, 0.500, 0.500)
Hg (0.000, 0.500, 0.000)
Hg (0.000, 0.000, 0.500)
Hg (0.500, 0.000, 0.000)
Pd (0.000, 0.000, 0.000)

---

[5]
Here is a crystal of HgPd3O relaxed with PBEsol from Alexandria via LeMat-Bulk. Energies are from meta-GGA SCAN.

Lattice parameters (Å, degrees): 4.185 4.185 4.185 90.00 90.00 90.00
Fractional positions:
O (0.000, 0.000, 0.000)
Hg (0.500, 0.500, 0.500)
Pd (0.000, 0.500, 0.000)
Pd (0.000, 0.000, 0.500)
Pd (0.500, 0.000, 0.000)

---

[6]
Here is a crystal of Hg2Pt2O7 relaxed with PBEsol from Alexandria via LeMat-Bulk. Energies are from meta-GGA SCAN.

Lattice parameters (Å, degrees): 7.201 7.201 7.201 60.00 60.00 60.00
Fractional positions:
Hg (0.125, 0.625, 0.625)
Hg (0.625, 0.625, 0.625)
Hg (0.625, 0.625, 0.125)
Hg (0.625, 0.125, 0.625)
Pt (0.125, 0.625, 0.125)
Pt (0.625, 0.125, 0.125)
Pt (0.125, 0.125, 0.625)
Pt (0.125, 0.125, 0.125)
O (0.204, 0.796, 0.796)
O (0.796, 0.204, 0.796)
O (0.500, 0.500, 0.500)
O (0.204, 0.796, 0.204)
O (0.796, 0.796, 0.204)
O (0.454, 0.046, 0.046)
O (0.796, 0.204, 0.204)
O (0.750, 0.750, 0.750)
O (0.046, 0.454, 0.046)
O (0.454, 0.046, 0.454)
O (0.454, 0.454, 0.046)
O (0.046, 0.046, 0.454)
O (0.046, 0.454, 0.454)
O (0.204, 0.204, 0.796)

---

Number 1: DOS(E_F) 2.23 states/eV/f.u., M_tot 0.00 μB/f.u., formation energy (no corrections) -6.9 eV/f.u.. Number 2: DOS(E_F) 0.68 states/eV/f.u., M_tot 1.00 μB/f.u., formation energy (no corrections) -27.9 eV/f.u.. Number 3: DOS(E_F) 2.80 states/eV/f.u., M_tot 0.00 μB/f.u., formation energy (no corrections) -7.3 eV/f.u.. Number 4: DOS(E_F) 5.82 states/eV/f.u., M_tot 1.42 μB/f.u., formation energy (no corrections) 2.5 eV/f.u.. Number 5: DOS(E_F) 1.56 states/eV/f.u., M_tot 0.00 μB/f.u., formation energy (no corrections) -0.5 eV/f.u.. Number 6: DOS(E_F) 7.13 states/eV/f.u., M_tot 0.00 μB/f.u., formation energy (no corrections) -5.7 eV/f.u..